Cs3Nd3USe8 | PBE-GGA | optimized geometry

## Properties
raw formation energy = -1.625 eV per atom
space group = No. 12
size of the total moment = 0.133 μB/atom

POSCAR file:
```
Cs3Nd3USe8
1.0
8.665 0.000 0.000
-4.333 7.504 -0.035
0.000 -4.970 8.571
Se Nd Cs U
8 3 3 1
Direct
0.741 0.962 0.683 Se
0.779 0.557 0.317 Se
0.221 0.443 0.683 Se
0.270 0.540 0.310 Se
0.779 0.038 0.317 Se
0.259 0.038 0.317 Se
0.730 0.460 0.690 Se
0.221 0.962 0.683 Se
0.000 0.500 0.500 Nd
0.500 0.000 0.500 Nd
0.500 0.500 0.500 Nd
0.500 0.500 0.000 Cs
0.000 0.500 0.000 Cs
0.000 0.000 0.000 Cs
0.000 0.000 0.500 U
```